*a*
VASP calculation (PBE) on a relaxed NaSr2H crystal.

Structure (POSCAR):
```
NaSr2H
1.0
-0.025 4.047 0.414
-3.315 1.878 1.426
2.218 1.085 9.531
Na Sr H
1 2 1
Cartesian
-0.558 3.504 5.693 Na
1.672 1.231 8.068 Sr
-0.567 1.829 2.076 Sr
-0.011 5.035 10.750 H
```

Density, Mg/m³: 2.41
Magnetic moment, μB per formula unit: 0.00

*b*
VASP calculation (PBE) on a relaxed NaSr2H crystal.

Structure (POSCAR):
```
NaSr2H
1.0
0.000 4.163 4.163
4.163 0.000 4.163
4.163 4.163 0.000
Sr H Na
2 1 1
Cartesian
2.082 2.082 2.082 Sr
6.245 6.245 6.245 Sr
0.000 0.000 0.000 H
4.163 4.163 4.163 Na
```

Density, Mg/m³: 2.29
Magnetic moment, μB per formula unit: 0.00

Least stable = *b*

*a*
VASP calculation (PBE) on a relaxed NaSrH crystal.

Structure (POSCAR):
```
NaSrH
1.0
-2.978 1.107 2.629
0.300 -3.930 -1.240
8.199 -0.054 9.308
Sr H Na
2 2 2
Cartesian
6.868 -0.873 8.146 Sr
-1.348 -2.004 2.551 Sr
0.168 -1.311 0.742 H
5.353 -1.566 9.955 H
2.472 -2.024 3.652 Na
3.049 -0.853 7.046 Na
```

Density, Mg/m³: 2.07
Magnetic moment, μB per formula unit: 0.33

*b*
VASP calculation (PBE) on a relaxed NaSrH crystal.

Structure (POSCAR):
```
NaSrH
1.0
4.076 0.000 0.000
-2.038 3.530 0.000
0.000 0.000 6.248
Sr H Na
1 1 1
Cartesian
2.038 1.177 2.874 Sr
0.000 2.353 3.622 H
0.000 0.000 6.000 Na
```

Density, Mg/m³: 2.06
Magnetic moment, μB per formula unit: 0.18

Least stable = *b*

*a*
VASP calculation (PBE) on a relaxed NaSrH crystal.

Structure (POSCAR):
```
NaSrH
1.0
-4.095 0.269 1.086
-1.114 -1.378 -3.858
0.245 -9.087 3.175
Na Sr H
2 2 2
Cartesian
-0.457 -4.380 -0.640 Na
-1.902 -5.262 2.428 Na
-0.344 -8.574 0.826 Sr
-2.015 -1.068 0.963 Sr
0.000 0.000 0.000 H
-2.604 -0.554 -1.386 H
```

Density, Mg/m³: 2.14
Magnetic moment, μB per formula unit: 0.00

*b*
VASP calculation (PBE) on a relaxed NaSrH crystal.

Structure (POSCAR):
```
NaSrH
1.0
-2.096 1.781 2.411
-2.216 -2.901 0.217
5.702 -1.789 3.503
Sr Na H
1 1 1
Cartesian
-0.426 -1.707 3.665 Sr
0.151 -0.100 0.205 Na
1.665 -1.103 2.262 H
```

Density, Mg/m³: 2.16
Magnetic moment, μB per formula unit: 0.00

Least stable = *b*

*a*
VASP calculation (PBE) on a relaxed NaSrH2 crystal.

Structure (POSCAR):
```
NaSrH2
1.0
-0.733 2.676 2.802
-2.682 -0.752 2.791
3.661 -2.100 5.737
Na Sr H
1 1 2
Cartesian
0.734 -0.437 6.158 Na
-2.076 1.168 3.890 Sr
2.831 -1.626 5.067 H
-1.120 0.631 1.879 H
```

Density, Mg/m³: 2.06
Magnetic moment, μB per formula unit: 0.00

*b*
VASP calculation (PBE) on a relaxed NaSrH2 crystal.

Structure (POSCAR):
```
NaSrH2
1.0
-1.051 -3.293 -1.994
-0.622 -3.413 1.972
-6.878 -0.662 0.723
Sr H Na
1 2 1
Cartesian
-4.275 -3.684 0.350 Sr
-4.590 -1.231 0.459 H
-3.960 -6.137 0.242 H
0.000 0.000 0.000 Na
```

Density, Mg/m³: 2.07
Magnetic moment, μB per formula unit: 0.41

*c*
VASP calculation (PBE) on a relaxed NaSrH2 crystal.

Structure (POSCAR):
```
NaSrH2
1.0
5.511 0.000 0.000
0.000 5.511 0.000
2.756 2.756 5.900
Sr H Na
2 4 2
Cartesian
0.000 0.000 0.000 Sr
5.511 2.756 2.950 Sr
4.248 1.378 1.475 H
1.263 4.133 1.475 H
4.133 4.019 4.425 H
6.889 7.004 4.425 H
2.756 2.756 0.000 Na
2.756 5.511 2.950 Na
```

Density, Mg/m³: 2.09
Magnetic moment, μB per formula unit: 1.00

Least stable = *c*

*a*
VASP calculation (PBE) on a relaxed Na2SrH4 crystal.

Structure (POSCAR):
```
Na2SrH4
1.0
4.638 0.000 0.000
0.000 4.638 0.000
2.319 2.319 6.410
Sr H Na
1 4 2
Cartesian
0.000 0.000 0.000 Sr
4.638 4.638 2.361 H
2.319 2.319 4.049 H
0.000 2.319 0.000 H
2.319 0.000 0.000 H
4.638 4.638 4.423 Na
2.319 2.319 1.988 Na
```

Density, Mg/m³: 1.66
Magnetic moment, μB per formula unit: 0.00

*b*
VASP calculation (PBE) on a relaxed Na2SrH4 crystal.

Structure (POSCAR):
```
Na2SrH4
1.0
-6.336 -1.154 -0.745
3.416 -5.472 -0.643
1.007 2.414 5.932
Na Sr H
4 2 8
Cartesian
-0.719 -4.905 0.454 Na
-1.923 -0.962 3.741 Na
1.245 -0.385 4.114 Na
-2.427 -2.169 0.776 Na
1.482 -3.185 2.297 Sr
-2.919 -6.626 -1.389 Sr
-3.150 -2.829 2.935 H
-0.697 0.905 4.548 H
-4.742 -1.729 1.031 H
-1.882 0.000 1.576 H
-3.802 0.454 3.442 H
-0.111 -2.610 0.520 H
-2.971 -4.339 -0.024 H
-0.045 -2.378 4.041 H
```

Density, Mg/m³: 2.18
Magnetic moment, μB per formula unit: 0.00

Least stable = *a*

*a*
VASP calculation (PBE) on a relaxed NaTc3H crystal.

Structure (POSCAR):
```
NaTc3H
1.0
-1.595 -2.339 -3.692
-0.126 -3.904 2.528
-4.369 0.966 1.275
Na Tc H
1 3 1
Cartesian
0.000 0.000 0.000 Na
-0.063 -1.952 1.264 Tc
-2.184 0.483 0.638 Tc
-0.798 -1.170 -1.846 Tc
-3.045 -2.638 0.056 H
```

Density, Mg/m³: 5.24
Magnetic moment, μB per formula unit: 7.21

*b*
VASP calculation (PBE) on a relaxed NaTc3H crystal.

Structure (POSCAR):
```
NaTc3H
1.0
3.999 0.000 0.000
0.000 3.999 0.000
0.000 0.000 3.999
Na Tc H
1 3 1
Cartesian
1.999 1.999 1.999 Na
0.000 1.999 0.000 Tc
0.000 0.000 1.999 Tc
1.999 0.000 0.000 Tc
0.000 0.000 0.000 H
```

Density, Mg/m³: 8.26
Magnetic moment, μB per formula unit: 0.00

Least stable = *a*

*a*
VASP calculation (PBE) on a relaxed NaTc2H crystal.

Structure (POSCAR):
```
NaTc2H
1.0
0.000 3.002 3.002
3.002 0.000 3.002
3.002 3.002 0.000
Na Tc H
1 2 1
Cartesian
3.002 3.002 3.002 Na
1.501 1.501 1.501 Tc
4.503 4.503 4.503 Tc
0.000 0.000 0.000 H
```

Density, Mg/m³: 6.75
Magnetic moment, μB per formula unit: 3.15

*b*
VASP calculation (PBE) on a relaxed NaTc2H crystal.

Structure (POSCAR):
```
NaTc2H
1.0
-2.010 -0.585 -5.207
-5.025 -1.366 2.093
-4.548 2.780 -1.581
Na Tc H
2 4 2
Cartesian
0.000 0.000 0.000 Na
-5.038 0.610 -4.172 Na
-2.519 0.305 -2.086 Tc
-5.031 -0.378 -1.039 Tc
-7.305 1.012 -1.829 Tc
-8.310 0.720 -4.433 Tc
-3.517 -0.975 -1.557 H
-6.545 0.220 -0.522 H
```

Density, Mg/m³: 5.96
Magnetic moment, μB per formula unit: 0.00

Least stable = *a*